[1]
# TaNbTc PBE relaxed
data_TaNbTc
_chemical_formula_sum 'Ta4 Nb4 Tc4'
_cell_length_a 9.318
_cell_length_b 2.990
_cell_length_c 7.605
_cell_angle_alpha 90.00
_cell_angle_beta 90.00
_cell_angle_gamma 90.00
_symmetry_space_group_name_H-M 'P 1'
_symmetry_Int_Tables_number 1
loop_
_symmetry_equiv_pos_as_xyz
'x,y,z'
loop_
_atom_site_label
_atom_site_fract_x
_atom_site_fract_y
_atom_site_fract_z
Ta1 0.118 0.250 0.105
Ta2 0.382 0.750 0.605
Ta3 0.618 0.250 0.395
Ta4 0.882 0.750 0.895
Nb1 0.116 0.250 0.732
Nb2 0.384 0.750 0.232
Nb3 0.616 0.250 0.768
Nb4 0.884 0.750 0.268
Tc1 0.134 0.750 0.425
Tc2 0.366 0.250 0.925
Tc3 0.634 0.750 0.075
Tc4 0.866 0.250 0.575
# Polymorph energy (0 for the lowest one) = 529 meV/atom
# ΔH_f (0 K) = 0.61 eV/f.u.
# Magnetization = 0.00 μB per atom

[2]
# Ta14NbTc PBE relaxed
data_Ta14NbTc
_chemical_formula_sum 'Ta14 Nb1 Tc1'
_cell_length_a 5.723
_cell_length_b 5.723
_cell_length_c 9.323
_cell_angle_alpha 90.00
_cell_angle_beta 90.00
_cell_angle_gamma 109.19
_symmetry_space_group_name_H-M 'P 1'
_symmetry_Int_Tables_number 1
loop_
_symmetry_equiv_pos_as_xyz
'x,y,z'
loop_
_atom_site_label
_atom_site_fract_x
_atom_site_fract_y
_atom_site_fract_z
Ta1 0.000 0.000 0.000
Ta2 0.000 0.500 0.000
Ta3 0.000 0.500 0.500
Ta4 0.248 0.752 0.247
Ta5 0.248 0.752 0.753
Ta6 0.255 0.255 0.258
Ta7 0.255 0.255 0.742
Ta8 0.500 0.000 0.000
Ta9 0.500 0.000 0.500
Ta10 0.500 0.500 0.000
Ta11 0.745 0.745 0.258
Ta12 0.745 0.745 0.742
Ta13 0.752 0.248 0.247
Ta14 0.752 0.248 0.753
Nb1 0.000 0.000 0.500
Tc1 0.500 0.500 0.500
# ΔH_f (0 K) = -0.93 eV/f.u.
# Magnetization = 0.00 μB per atom